(1)
This record from Alexandria via LeMat-Bulk describes a PBEsol-optimized structure of Er5Re2O12. The functional is meta-GGA SCAN.

Its space group is C2/m, No. 12. The calculation puts the density of states at the Fermi level at 1.04 states/eV/cell. The value obtained for the uncorrected formation energy is -3.207 eV/atom.

Cell: 6.7116 6.7116 7.3935 Å, 106.26 106.26 48.98°
Last column: nearest neighbours and their distance in Å.
Positions (direct):
Er1 0.0000 0.0000 0.0000  6 O 2.15-2.27
Er2 0.3023 0.3023 0.1411  7 O 2.23-2.37
Er3 0.3146 0.3146 0.6760  7 O 2.22-2.44
Er4 0.6854 0.6854 0.3240  7 O 2.22-2.44
Er5 0.6977 0.6977 0.8589  7 O 2.23-2.37
Re1 0.2159 0.7841 0.5000  6 O 1.95-2.07
Re2 0.7841 0.2159 0.5000  6 O 1.95-2.07
O1 0.0015 0.0015 0.2917  2 Re 1.96, 1 Er 2.15
O2 0.0869 0.5788 0.4139  1 Re 1.95
O3 0.0987 0.5939 0.9272  4 Er 2.23-2.28
O4 0.4061 0.9013 0.0728  4 Er 2.23-2.28
O5 0.4212 0.9131 0.5861  1 Re 1.95
O6 0.4987 0.4987 0.3196  2 Re 2.07, 1 Er 2.27
O7 0.5013 0.5013 0.6804  2 Re 2.07, 1 Er 2.27
O8 0.5788 0.0869 0.4139  1 Re 1.95
O9 0.5939 0.0987 0.9272  4 Er 2.23-2.28
O10 0.9013 0.4061 0.0728  4 Er 2.23-2.28
O11 0.9131 0.4212 0.5861  1 Re 1.95
O12 0.9985 0.9985 0.7083  2 Re 1.96, 1 Er 2.15

***

(2)
This record from Alexandria via LeMat-Bulk describes a PBEsol-optimized structure of ErRhO3. The functional is meta-GGA SCAN.

Its space group is Pnma, No. 62. The value obtained for the uncorrected formation energy is -2.540 eV/atom.

Cell: 5.7261 7.4543 5.1287 Å, 90.00 90.00 90.00°
Last column: nearest neighbours and their distance in Å.
Positions (direct):
Er1 0.0887 0.2500 0.0344  6 O 2.18-2.42
Er2 0.4113 0.7500 0.5344  6 O 2.18-2.42
Er3 0.5887 0.2500 0.4656  6 O 2.18-2.42
Er4 0.9113 0.7500 0.9656  6 O 2.18-2.42
Rh1 0.0000 0.0000 0.5000  6 O 2.02-2.05
Rh2 0.0000 0.5000 0.5000  6 O 2.02-2.05
Rh3 0.5000 0.0000 0.0000  6 O 2.02-2.05
Rh4 0.5000 0.5000 0.0000  6 O 2.02-2.05
O1 0.0545 0.7500 0.3604  2 Rh 2.02, 2 Er 2.18-2.23
O2 0.1887 0.5623 0.8277  2 Rh 2.04-2.05, 1 Er 2.23
O3 0.1887 0.9377 0.8277  2 Rh 2.04-2.05, 1 Er 2.23
O4 0.3113 0.0623 0.3277  2 Rh 2.04-2.05, 1 Er 2.23
O5 0.3113 0.4377 0.3277  2 Rh 2.04-2.05, 1 Er 2.23
O6 0.4455 0.2500 0.8604  2 Rh 2.02, 2 Er 2.18-2.23
O7 0.5545 0.7500 0.1396  2 Rh 2.02, 2 Er 2.18-2.23
O8 0.6887 0.5623 0.6723  2 Rh 2.04-2.05, 1 Er 2.23
O9 0.6887 0.9377 0.6723  2 Rh 2.04-2.05, 1 Er 2.23
O10 0.8113 0.0623 0.1723  2 Rh 2.04-2.05, 1 Er 2.23
O11 0.8113 0.4377 0.1723  2 Rh 2.04-2.05, 1 Er 2.23
O12 0.9455 0.2500 0.6396  2 Rh 2.02, 2 Er 2.18-2.23

***

(3)
This record from Alexandria via LeMat-Bulk describes a PBEsol-optimized structure of Sr3ErRhO6. The functional is meta-GGA SCAN.

Its space group is R-3c, No. 167. The calculation puts the density of states at the Fermi level at 0.00 states/eV/cell. The value obtained for the uncorrected formation energy is -2.891 eV/atom.

Cell: 6.7313 6.7313 6.7313 Å, 92.17 92.17 92.17°
Last column: nearest neighbours and their distance in Å.
Positions (direct):
Sr1 0.1190 0.7500 0.3810  8 O 2.49-2.71
Sr2 0.2500 0.6190 0.8810  8 O 2.49-2.71
Sr3 0.3810 0.1190 0.7500  8 O 2.49-2.71
Sr4 0.6190 0.8810 0.2500  8 O 2.49-2.71
Sr5 0.7500 0.3810 0.1190  8 O 2.49-2.71
Sr6 0.8810 0.2500 0.6190  8 O 2.49-2.71
Er1 0.2500 0.2500 0.2500  6 O 2.24
Er2 0.7500 0.7500 0.7500  6 O 2.24
Rh1 0.0000 0.0000 0.0000  6 O 2.07
Rh2 0.5000 0.5000 0.5000  6 O 2.07
O1 0.0431 0.9085 0.7088  1 Rh 2.07, 1 Er 2.24
O2 0.0915 0.2912 0.9569  1 Rh 2.07, 1 Er 2.24
O3 0.2088 0.4085 0.5431  1 Rh 2.07, 1 Er 2.24
O4 0.2912 0.9569 0.0915  1 Rh 2.07, 1 Er 2.24
O5 0.4085 0.5431 0.2088  1 Rh 2.07, 1 Er 2.24
O6 0.4569 0.7912 0.5915  1 Rh 2.07, 1 Er 2.24
O7 0.5431 0.2088 0.4085  1 Rh 2.07, 1 Er 2.24
O8 0.5915 0.4569 0.7912  1 Rh 2.07, 1 Er 2.24
O9 0.7088 0.0431 0.9085  1 Rh 2.07, 1 Er 2.24
O10 0.7912 0.5915 0.4569  1 Rh 2.07, 1 Er 2.24
O11 0.9085 0.7088 0.0431  1 Rh 2.07, 1 Er 2.24
O12 0.9569 0.0915 0.2912  1 Rh 2.07, 1 Er 2.24

***

(4)
This record from Alexandria via LeMat-Bulk describes a PBEsol-optimized structure of Er2SO2. The functional is meta-GGA SCAN.

Its space group is P-3m1, No. 164. The calculation puts the density of states at the Fermi level at 0.00 states/eV/cell. The value obtained for the uncorrected formation energy is -3.579 eV/atom.

Cell: 3.7162 3.7162 6.4685 Å, 90.00 90.00 120.00°
Last column: nearest neighbours and their distance in Å.
Positions (direct):
Er1 0.3333 0.6667 0.2826  4 O 2.22-2.24
Er2 0.6667 0.3333 0.7174  4 O 2.22-2.24
S1 0.0000 0.0000 0.0000  6 Er 2.82
O1 0.3333 0.6667 0.6296  4 Er 2.22-2.24
O2 0.6667 0.3333 0.3704  4 Er 2.22-2.24